# 1
Compound: La3Ce2Se8
Source: the Alexandria database
Functional: PBE
Structure: optimized geometry

Calculated values
DOS at the Fermi energy (states/eV/f.u.): 9.63
Energy relative to the elements, uncorrected (meV/atom): -1768
Electronic total energy (eV per atom): -5.962
Crystal system: orthorhombic
Offset from the most stable computed form (eV per atom): 0.023

a = 10.3343 Å, b = 14.4211 Å, c = 5.0161 Å
α = 90.00°, β = 90.00°, γ = 90.00°
With the nearest neighbours (Å) after each atom.
Space group Cmmm (No. 65)
Unique sites:
La  0.0000  0.0000  0.0000 x2  8 Se 3.06-3.11
La  0.2187  0.5000  0.5000 x4  6 Se 2.95-3.13
Ce  0.0000  0.2649  0.0000 x4  8 Se 2.92-3.25
Se  0.0000  0.1219  0.5000 x4  4 La 3.06-3.40, 2 Ce 3.25
Se  0.0000  0.3681  0.5000 x4  2 Ce 2.92, 2 La 2.95
Se  0.2426  0.1272  0.0000 x8  2 Ce 3.08-3.20, 3 La 3.11-3.13

=====

# 2
Compound: La2YAg
Source: the Alexandria database
Functional: PBE
Structure: optimized geometry

Calculated values
DOS at the Fermi energy (states/eV/f.u.): 5.86
Calculated formation energy (meV/atom): -125
Electronic total energy (eV per atom): -4.918
Crystal system: tetragonal
Offset from the most stable computed form (eV per atom): 0.001

a = 3.7311 Å, b = 3.7311 Å, c = 8.8670 Å
α = 90.00°, β = 90.00°, γ = 90.00°
With the nearest neighbours (Å) after each atom.
Space group P4mm (No. 99)
Unique sites:
La  0.0000  0.0000  0.0000 x1  4 Ag 3.34, 1 Y 3.70, 8 La 3.72-3.73
La  0.5000  0.5000  0.2954 x1  4 Y 3.67, 8 La 3.72-3.73
Y  0.0000  0.0000  0.5824 x1  4 Ag 3.12
Ag  0.5000  0.5000  0.7698 x1  4 Y 3.12, 4 La 3.34

=====

# 3
Compound: YScAlCd
Source: the Alexandria database
Functional: PBE
Structure: optimized geometry

Calculated values
DOS at the Fermi energy (states/eV/f.u.): 3.67
Calculated formation energy (meV/atom): -359
Electronic total energy (eV per atom): -4.722
Crystal system: cubic

a = 7.1607 Å, b = 7.1607 Å, c = 7.1607 Å
α = 90.00°, β = 90.00°, γ = 90.00°
With the nearest neighbours (Å) after each atom.
Space group F-43m (No. 216)
Unique sites:
Y  0.0000  0.0000  0.0000 x4  4 Al 3.10, 4 Cd 3.10
Sc  0.0000  0.0000  0.5000 x4  4 Cd 3.10, 4 Al 3.10
Al  0.2500  0.2500  0.7500 x4  4 Sc 3.10, 4 Y 3.10
Cd  0.2500  0.2500  0.2500 x4  4 Y 3.10, 4 Sc 3.10

=====

Which value of electronic total energy does entry 3 give?
-4.722 eV per atom

=====

Look up the electronic total energy of the first one.
-5.962 eV per atom